Entry 1:
The following is a DFT calculation (PBE) of crystalline Te2PN at its relaxed geometry.

Calculated values
* crystal system: tetragonal
* energy relative to the lowest polymorph listed for this composition: 0.0000 eV per atom
* energy relative to the elements, uncorrected: 0.877 eV/atom
* Fermi-level density of states: 0.49 states/eV/atom

Structure (CIF):
```
data_Te2PN
_chemical_formula_sum 'Te8 P4 N4'
_symmetry_space_group_name_H-M 'I -4 2 d'
_symmetry_Int_Tables_number 122
_symmetry_space_group_name_Hall 'I -4 2bw'
_cell_length_a 6.584
_cell_length_b 6.584
_cell_length_c 8.016
_cell_angle_alpha 90.00
_cell_angle_beta 90.00
_cell_angle_gamma 90.00
loop_
_atom_site_label
_atom_site_type_symbol
_atom_site_fract_x
_atom_site_fract_y
_atom_site_fract_z
_atom_site_occupancy
Te1 Te 0.201 0.250 0.125 1
P1 P 0.000 0.000 0.500 1
N1 N 0.000 0.000 0.000 1
```


Entry 2:
The following is a DFT calculation (PBE) of crystalline KOs4Ru at its relaxed geometry.

Calculated values
* crystal system: cubic
* Fermi-level density of states: 1.53 states/eV/atom
* energy relative to the elements: 7.23 eV/f.u.

Structure (CIF):
```
data_KOs4Ru
_chemical_formula_sum 'K4 Os16 Ru4'
_symmetry_space_group_name_H-M 'F -4 3 m'
_symmetry_Int_Tables_number 216
_symmetry_space_group_name_Hall 'F -4 2 3'
_cell_length_a 7.408
_cell_length_b 7.408
_cell_length_c 7.408
_cell_angle_alpha 90.00
_cell_angle_beta 90.00
_cell_angle_gamma 90.00
loop_
_atom_site_label
_atom_site_type_symbol
_atom_site_fract_x
_atom_site_fract_y
_atom_site_fract_z
_atom_site_occupancy
K1 K 0.000 0.000 0.000 1
Os1 Os 0.125 0.125 0.625 1
Ru1 Ru 0.250 0.250 0.250 1
```


Entry 3:
The following is a DFT calculation (PBE) of crystalline Sc3AgN at its relaxed geometry.

Calculated values
* crystal system: hexagonal
* energy relative to the lowest polymorph listed for this composition: 0.3193 eV per atom
* energy relative to the elements, uncorrected: -0.600 eV/atom
* Fermi-level density of states: 0.67 states/eV/atom

Structure (CIF):
```
data_Sc3AgN
_chemical_formula_sum 'Sc6 Ag2 N2'
_symmetry_space_group_name_H-M 'P 63/m m c'
_symmetry_Int_Tables_number 194
_symmetry_space_group_name_Hall '-P 6c 2c'
_cell_length_a 3.6697
_cell_length_b 3.6697
_cell_length_c 17.0172
_cell_angle_alpha 90.00
_cell_angle_beta 90.00
_cell_angle_gamma 120.00
loop_
_atom_site_label
_atom_site_type_symbol
_atom_site_fract_x
_atom_site_fract_y
_atom_site_fract_z
_atom_site_occupancy
Sc1 Sc 0.0000 0.0000 0.2500 1
Sc2 Sc 0.3333 0.6667 0.1188 1
Ag1 Ag 0.0000 0.0000 0.0000 1
N1 N 0.3333 0.6667 0.2500 1
```


Entry 4:
The following is a DFT calculation (PBE) of crystalline Pu3InCu8 at its relaxed geometry.

Calculated values
* crystal system: trigonal
* Fermi-level density of states: 2.30 states/eV/atom
* energy relative to the elements: -0.43 eV/f.u.

Structure (CIF):
```
data_Pu3InCu8
_chemical_formula_sum 'Pu9 In3 Cu24'
_symmetry_space_group_name_H-M 'R 3 m'
_symmetry_Int_Tables_number 160
_symmetry_space_group_name_Hall 'R 3 -2"'
_cell_length_a 5.1955
_cell_length_b 5.1955
_cell_length_c 25.4502
_cell_angle_alpha 90.00
_cell_angle_beta 90.00
_cell_angle_gamma 120.00
loop_
_atom_site_label
_atom_site_type_symbol
_atom_site_fract_x
_atom_site_fract_y
_atom_site_fract_z
_atom_site_occupancy
Pu1 Pu 0.0000 0.0000 0.0000 1
Pu2 Pu 0.0000 0.0000 0.1239 1
Pu3 Pu 0.0000 0.0000 0.6272 1
In1 In 0.0000 0.0000 0.5006 1
Cu1 Cu 0.0000 0.0000 0.3126 1
Cu2 Cu 0.0000 0.0000 0.8132 1
Cu3 Cu 0.0007 0.5003 0.5614 1
Cu4 Cu 0.0033 0.5016 0.0641 1
```


Entry 5:
The following is a DFT calculation (PBE) of crystalline SrMgRh2 at its relaxed geometry.

Calculated values
* crystal system: trigonal
* Fermi-level density of states: 0.84 states/eV/atom
* energy relative to the elements: 0.25 eV/f.u.

Structure (CIF):
```
data_SrMgRh2
_chemical_formula_sum 'Sr3 Mg3 Rh6'
_symmetry_space_group_name_H-M 'R -3 m'
_symmetry_Int_Tables_number 166
_symmetry_space_group_name_Hall '-R 3 2"'
_cell_length_a 3.2591
_cell_length_b 3.2591
_cell_length_c 25.2586
_cell_angle_alpha 90.00
_cell_angle_beta 90.00
_cell_angle_gamma 120.00
loop_
_atom_site_label
_atom_site_type_symbol
_atom_site_fract_x
_atom_site_fract_y
_atom_site_fract_z
_atom_site_occupancy
Sr1 Sr 0.0000 0.0000 0.0000 1
Mg1 Mg 0.0000 0.0000 0.5000 1
Rh1 Rh 0.0000 0.0000 0.2421 1
```


Entry 6:
The following is a DFT calculation (PBE) of crystalline HPdPtPb2 at its relaxed geometry.

Calculated values
* crystal system: tetragonal
* energy relative to the lowest polymorph listed for this composition: 0.0000 eV per atom
* Fermi-level density of states: 0.36 states/eV/atom

Structure (CIF):
```
data_HPdPtPb2
_chemical_formula_sum 'H1 Pd1 Pt1 Pb2'
_symmetry_space_group_name_H-M 'P 4/m m m'
_symmetry_Int_Tables_number 123
_symmetry_space_group_name_Hall '-P 4 2'
_cell_length_a 5.158
_cell_length_b 5.158
_cell_length_c 3.450
_cell_angle_alpha 90.00
_cell_angle_beta 90.00
_cell_angle_gamma 90.00
loop_
_atom_site_label
_atom_site_type_symbol
_atom_site_fract_x
_atom_site_fract_y
_atom_site_fract_z
_atom_site_occupancy
H1 H 0.000 0.000 0.000 1
Pd1 Pd 0.000 0.000 0.500 1
Pt1 Pt 0.500 0.500 0.500 1
Pb1 Pb 0.000 0.500 0.000 1
```


Entry 7:
The following is a DFT calculation (PBE) of crystalline ScGeHW2 at its relaxed geometry.

Calculated values
* crystal system: tetragonal
* uncorrected energy: -6.548 eV per atom
* Fermi-level density of states: 0.93 states/eV/atom

Structure (CIF):
```
data_ScGeHW2
_chemical_formula_sum 'Sc1 Ge1 H1 W2'
_symmetry_space_group_name_H-M 'P 4/m m m'
_symmetry_Int_Tables_number 123
_symmetry_space_group_name_Hall '-P 4 2'
_cell_length_a 5.122
_cell_length_b 5.122
_cell_length_c 3.079
_cell_angle_alpha 90.00
_cell_angle_beta 90.00
_cell_angle_gamma 90.00
loop_
_atom_site_label
_atom_site_type_symbol
_atom_site_fract_x
_atom_site_fract_y
_atom_site_fract_z
_atom_site_occupancy
Sc1 Sc 0.000 0.000 0.000 1
Ge1 Ge 0.500 0.500 0.500 1
H1 H 0.000 0.000 0.500 1
W1 W 0.000 0.500 0.000 1
```


Entry 8:
The following is a DFT calculation (PBE) of crystalline Si2AsP at its relaxed geometry.

Calculated values
* crystal system: monoclinic
* energy relative to the lowest polymorph listed for this composition: 0.4845 eV per atom
* energy relative to the elements, uncorrected: 0.560 eV/atom
* Fermi-level density of states: 0.43 states/eV/atom

Structure (CIF):
```
data_Si2AsP
_chemical_formula_sum 'Si4 As2 P2'
_symmetry_space_group_name_H-M 'C 1 2/m 1'
_symmetry_Int_Tables_number 12
_symmetry_space_group_name_Hall '-C 2y'
_cell_length_a 5.582
_cell_length_b 8.959
_cell_length_c 2.688
_cell_angle_alpha 90.00
_cell_angle_beta 109.79
_cell_angle_gamma 90.00
loop_
_atom_site_label
_atom_site_type_symbol
_atom_site_fract_x
_atom_site_fract_y
_atom_site_fract_z
_atom_site_occupancy
Si1 Si 0.250 0.250 0.000 1
As1 As 0.000 0.000 0.500 1
P1 P 0.000 0.500 0.500 1
```


Entry 9:
The following is a DFT calculation (PBE) of crystalline BaCuRh at its relaxed geometry.

Calculated values
* crystal system: orthorhombic
* energy relative to the lowest polymorph listed for this composition: 0.0548 eV per atom
* Fermi-level density of states: 0.76 states/eV/atom
* energy relative to the elements: 0.01 eV/f.u.

Structure (CIF):
```
data_BaCuRh
_chemical_formula_sum 'Ba4 Cu4 Rh4'
_symmetry_space_group_name_H-M 'C m c m'
_symmetry_Int_Tables_number 63
_symmetry_space_group_name_Hall '-C 2c 2'
_cell_length_a 4.561
_cell_length_b 16.708
_cell_length_c 4.593
_cell_angle_alpha 90.00
_cell_angle_beta 90.00
_cell_angle_gamma 90.00
loop_
_atom_site_label
_atom_site_type_symbol
_atom_site_fract_x
_atom_site_fract_y
_atom_site_fract_z
_atom_site_occupancy
Ba1 Ba 0.000 0.119 0.250 1
Cu1 Cu 0.000 0.317 0.250 1
Rh1 Rh 0.000 0.250 0.750 1
```


Entry 10:
The following is a DFT calculation (PBE) of crystalline Cs2HoReN4 at its relaxed geometry.

Calculated values
* crystal system: orthorhombic
* energy relative to the elements, uncorrected: -0.395 eV/atom
* Fermi-level density of states: 0.00 states/eV/atom

Structure (CIF):
```
data_Cs2HoReN4
_chemical_formula_sum 'Cs16 Ho8 Re8 N32'
_symmetry_space_group_name_H-M 'F d d d'
_symmetry_Int_Tables_number 70
_cell_length_a 5.865
_cell_length_b 13.241
_cell_length_c 23.925
_cell_angle_alpha 90.00
_cell_angle_beta 90.00
_cell_angle_gamma 90.00
loop_
_symmetry_equiv_pos_as_xyz
'x,y,z'
'-x,-y,-z'
'-x+1/4,-y+1/4,z'
'x+1/4,y+1/4,-z'
'x,-y+1/4,-z+1/4'
'-x,y+1/4,z+1/4'
'-x+1/4,y,-z+1/4'
'x+1/4,-y,z+1/4'
'x,y+1/2,z+1/2'
'-x,-y+1/2,-z+1/2'
'-x+1/4,-y+3/4,z+1/2'
'x+1/4,y+3/4,-z+1/2'
'x,-y+3/4,-z+3/4'
'-x,y+3/4,z+3/4'
'-x+1/4,y+1/2,-z+3/4'
'x+1/4,-y+1/2,z+3/4'
'x+1/2,y,z+1/2'
'-x+1/2,-y,-z+1/2'
'-x+3/4,-y+1/4,z+1/2'
'x+3/4,y+1/4,-z+1/2'
'x+1/2,-y+1/4,-z+3/4'
'-x+1/2,y+1/4,z+3/4'
'-x+3/4,y,-z+3/4'
'x+3/4,-y,z+3/4'
'x+1/2,y+1/2,z'
'-x+1/2,-y+1/2,-z'
'-x+3/4,-y+3/4,z'
'x+3/4,y+3/4,-z'
'x+1/2,-y+3/4,-z+1/4'
'-x+1/2,y+3/4,z+1/4'
'-x+3/4,y+1/2,-z+1/4'
'x+3/4,-y+1/2,z+1/4'
loop_
_atom_site_label
_atom_site_type_symbol
_atom_site_fract_x
_atom_site_fract_y
_atom_site_fract_z
_atom_site_occupancy
Cs1 Cs 0.125 0.125 0.303 1
Ho1 Ho 0.125 0.125 0.125 1
Re1 Re 0.125 0.125 0.625 1
N1 N 0.080 0.298 0.835 1
```


Entry 11:
The following is a DFT calculation (PBE) of crystalline AcNd5DyEr2 at its relaxed geometry.

Calculated values
* crystal system: orthorhombic
* Fermi-level density of states: 1.52 states/eV/atom
* energy relative to the elements: 0.73 eV/f.u.

Structure (CIF):
```
data_AcNd5DyEr2
_chemical_formula_sum 'Ac4 Nd20 Dy4 Er8'
_symmetry_space_group_name_H-M 'C m c 21'
_symmetry_Int_Tables_number 36
_symmetry_space_group_name_Hall 'C 2c -2'
_cell_length_a 5.826
_cell_length_b 17.576
_cell_length_c 12.238
_cell_angle_alpha 90.00
_cell_angle_beta 90.00
_cell_angle_gamma 90.00
loop_
_atom_site_label
_atom_site_type_symbol
_atom_site_fract_x
_atom_site_fract_y
_atom_site_fract_z
_atom_site_occupancy
Ac1 Ac 0.000 0.116 0.000 1
Nd1 Nd 0.000 0.077 0.344 1
Nd2 Nd 0.000 0.080 0.665 1
Nd3 Nd 0.000 0.268 0.796 1
Nd4 Nd 0.000 0.269 0.206 1
Nd5 Nd 0.000 0.439 0.648 1
Dy1 Dy 0.000 0.247 0.501 1
Er1 Er 0.000 0.388 0.000 1
Er2 Er 0.000 0.438 0.354 1
```


Entry 12:
The following is a DFT calculation (PBE) of crystalline ZrTcCl2 at its relaxed geometry.

Calculated values
* crystal system: cubic
* energy relative to the lowest polymorph listed for this composition: 0.8459 eV per atom
* energy relative to the elements, uncorrected: 0.291 eV/atom
* Fermi-level density of states: 0.83 states/eV/atom

Structure (CIF):
```
data_ZrTcCl2
_chemical_formula_sum 'Zr4 Tc4 Cl8'
_symmetry_space_group_name_H-M 'F -4 3 m'
_symmetry_Int_Tables_number 216
_symmetry_space_group_name_Hall 'F -4 2 3'
_cell_length_a 6.653
_cell_length_b 6.653
_cell_length_c 6.653
_cell_angle_alpha 90.00
_cell_angle_beta 90.00
_cell_angle_gamma 90.00
loop_
_atom_site_label
_atom_site_type_symbol
_atom_site_fract_x
_atom_site_fract_y
_atom_site_fract_z
_atom_site_occupancy
Zr1 Zr 0.000 0.000 0.000 1
Tc1 Tc 0.250 0.250 0.250 1
Cl1 Cl 0.000 0.000 0.500 1
Cl2 Cl 0.250 0.250 0.750 1
```


Entry 13:
The following is a DFT calculation (PBE) of crystalline ZrH2Rh at its relaxed geometry.

Calculated values
* crystal system: tetragonal
* energy relative to the lowest polymorph listed for this composition: 0.0733 eV per atom
* Fermi-level density of states: 0.66 states/eV/atom

Structure (CIF):
```
data_ZrH2Rh
_chemical_formula_sum 'Zr4 H8 Rh4'
_symmetry_space_group_name_H-M 'I -4 2 d'
_symmetry_Int_Tables_number 122
_symmetry_space_group_name_Hall 'I -4 2bw'
_cell_length_a 4.229
_cell_length_b 4.229
_cell_length_c 9.580
_cell_angle_alpha 90.00
_cell_angle_beta 90.00
_cell_angle_gamma 90.00
loop_
_atom_site_label
_atom_site_type_symbol
_atom_site_fract_x
_atom_site_fract_y
_atom_site_fract_z
_atom_site_occupancy
Zr1 Zr 0.000 0.000 0.000 1
H1 H 0.186 0.250 0.625 1
Rh1 Rh 0.000 0.000 0.500 1
```